# PBE Sc2GeB2Ru5, optimized geometry
data_Sc2GeB2Ru5
_chemical_formula_sum 'Sc4 Ge2 B4 Ru10'
_symmetry_space_group_name_H-M 'P 4/m b m'
_symmetry_Int_Tables_number 127
_symmetry_space_group_name_Hall '-P 4 2ab'
_cell_length_a 9.3678
_cell_length_b 9.3678
_cell_length_c 3.0361
_cell_angle_alpha 90.00
_cell_angle_beta 90.00
_cell_angle_gamma 90.00
loop_
_atom_site_label
_atom_site_fract_x
_atom_site_fract_y
_atom_site_fract_z
Sc1 0.1751 0.3249 0.0000
Ge1 0.0000 0.0000 0.0000
B1 0.1251 0.6251 0.0000
Ru1 0.0000 0.5000 0.5000
Ru2 0.0700 0.7859 0.5000
# Total magnetization   0.00 μB per formula unit
# Total DFT energy (no corrections)   -8.305 eV/atom
# E_form   -0.60 eV/atom


# PBE InGeO2, optimized geometry
data_InGeO2
_chemical_formula_sum 'In3 Ge3 O6'
_symmetry_space_group_name_H-M 'R -3 m'
_symmetry_Int_Tables_number 166
_symmetry_space_group_name_Hall '-R 3 2"'
_cell_length_a 3.0519
_cell_length_b 3.0519
_cell_length_c 21.8373
_cell_angle_alpha 90.00
_cell_angle_beta 90.00
_cell_angle_gamma 120.00
loop_
_atom_site_label
_atom_site_fract_x
_atom_site_fract_y
_atom_site_fract_z
In1 0.0000 0.0000 0.0000
Ge1 0.0000 0.0000 0.5000
O1 0.0000 0.0000 0.1220
# Total magnetization   0.00 μB per formula unit
# Formation energy from raw total energies   -1.0028 eV/atom
# Total DFT energy (no corrections)   -5.321 eV/atom


# PBE Cd2CuAs, optimized geometry
data_Cd2CuAs
_chemical_formula_sum 'Cd4 Cu2 As2'
_symmetry_space_group_name_H-M 'C 1 2/m 1'
_symmetry_Int_Tables_number 12
_cell_length_a 9.3573
_cell_length_b 2.9863
_cell_length_c 5.6915
_cell_angle_alpha 90.00
_cell_angle_beta 102.76
_cell_angle_gamma 90.00
loop_
_symmetry_equiv_pos_as_xyz
'x,y,z'
'-x,-y,-z'
'-x,y,-z'
'x,-y,z'
'x+1/2,y+1/2,z'
'-x+1/2,-y+1/2,-z'
'-x+1/2,y+1/2,-z'
'x+1/2,-y+1/2,z'
loop_
_atom_site_label
_atom_site_fract_x
_atom_site_fract_y
_atom_site_fract_z
Cd1 0.2375 0.0000 0.2289
Cu1 0.0000 0.5000 0.0000
As1 0.0000 0.0000 0.5000
# Total magnetization   0.00 μB per formula unit
# Total DFT energy (no corrections)   -2.460 eV/atom
# E_form   0.18 eV/atom


# PBE TmIn6, optimized geometry
data_TmIn6
_chemical_formula_sum 'Tm2 In12'
_symmetry_space_group_name_H-M 'I m -3 m'
_symmetry_Int_Tables_number 229
_symmetry_space_group_name_Hall '-I 4 2 3'
_cell_length_a 7.9936
_cell_length_b 7.9936
_cell_length_c 7.9936
_cell_angle_alpha 90.00
_cell_angle_beta 90.00
_cell_angle_gamma 90.00
loop_
_atom_site_label
_atom_site_fract_x
_atom_site_fract_y
_atom_site_fract_z
Tm1 0.0000 0.0000 0.0000
In1 0.0000 0.2500 0.5000
# Total magnetization   0.00 μB per formula unit
# Total DFT energy (no corrections)   -2.483 eV/atom
# E_form   0.50 eV/atom


# PBE AgBNF2, optimized geometry
data_AgBNF2
_chemical_formula_sum 'Ag1 B1 N1 F2'
_symmetry_space_group_name_H-M 'P 4/m m m'
_symmetry_Int_Tables_number 123
_symmetry_space_group_name_Hall '-P 4 2'
_cell_length_a 4.4396
_cell_length_b 4.4396
_cell_length_c 4.0289
_cell_angle_alpha 90.00
_cell_angle_beta 90.00
_cell_angle_gamma 90.00
loop_
_atom_site_label
_atom_site_fract_x
_atom_site_fract_y
_atom_site_fract_z
Ag1 0.0000 0.0000 0.0000
B1 0.5000 0.5000 0.5000
N1 0.0000 0.0000 0.5000
F1 0.0000 0.5000 0.0000
# Total magnetization   1.94 μB per formula unit
# Formation energy from raw total energies   1.0466 eV/atom
# Total DFT energy (no corrections)   -3.273 eV/atom


# PBE NbAg2AsSe, optimized geometry
data_NbAg2AsSe
_chemical_formula_sum 'Nb1 Ag2 As1 Se1'
_symmetry_space_group_name_H-M 'P 4/m m m'
_symmetry_Int_Tables_number 123
_symmetry_space_group_name_Hall '-P 4 2'
_cell_length_a 4.7843
_cell_length_b 4.7843
_cell_length_c 5.4908
_cell_angle_alpha 90.00
_cell_angle_beta 90.00
_cell_angle_gamma 90.00
loop_
_atom_site_label
_atom_site_fract_x
_atom_site_fract_y
_atom_site_fract_z
Nb1 0.0000 0.0000 0.0000
Ag1 0.0000 0.5000 0.5000
As1 0.5000 0.5000 0.0000
Se1 0.5000 0.5000 0.5000
# Total magnetization   3.17 μB per formula unit
# Formation energy from raw total energies   1.0470 eV/atom
# Total DFT energy (no corrections)   -3.734 eV/atom


# PBE AuSeNCl2, optimized geometry
data_AuSeNCl2
_chemical_formula_sum 'Au1 Se1 N1 Cl2'
_symmetry_space_group_name_H-M 'P 4/m m m'
_symmetry_Int_Tables_number 123
_symmetry_space_group_name_Hall '-P 4 2'
_cell_length_a 5.4068
_cell_length_b 5.4068
_cell_length_c 3.6040
_cell_angle_alpha 90.00
_cell_angle_beta 90.00
_cell_angle_gamma 90.00
loop_
_atom_site_label
_atom_site_fract_x
_atom_site_fract_y
_atom_site_fract_z
Au1 0.0000 0.0000 0.0000
Se1 0.5000 0.5000 0.5000
N1 0.5000 0.5000 0.0000
Cl1 0.0000 0.5000 0.5000
# Total magnetization   0.00 μB per formula unit
# Formation energy from raw total energies   0.8192 eV/atom
# Total DFT energy (no corrections)   -2.937 eV/atom


# PBE La4As2I3, optimized geometry
data_La4As2I3
_chemical_formula_sum 'La8 As4 I6'
_symmetry_space_group_name_H-M 'C 1 2/m 1'
_symmetry_Int_Tables_number 12
_cell_length_a 7.6401
_cell_length_b 4.4108
_cell_length_c 19.1672
_cell_angle_alpha 90.00
_cell_angle_beta 90.06
_cell_angle_gamma 90.00
loop_
_symmetry_equiv_pos_as_xyz
'x,y,z'
'-x,-y,-z'
'-x,y,-z'
'x,-y,z'
'x+1/2,y+1/2,z'
'-x+1/2,-y+1/2,-z'
'-x+1/2,y+1/2,-z'
'x+1/2,-y+1/2,z'
loop_
_atom_site_label
_atom_site_fract_x
_atom_site_fract_y
_atom_site_fract_z
La1 0.0009 0.0000 0.2874
La2 0.1663 0.5000 0.8803
As1 0.1673 0.5000 0.2017
I1 0.0000 0.0000 0.0000
I2 0.1655 0.5000 0.6030
# Total magnetization   0.00 μB per formula unit
# Formation energy from raw total energies   -1.5045 eV/atom
# Total DFT energy (no corrections)   -5.244 eV/atom


# PBE SrAsRu2, optimized geometry
data_SrAsRu2
_chemical_formula_sum 'Sr3 As3 Ru6'
_symmetry_space_group_name_H-M 'R 3 m'
_symmetry_Int_Tables_number 160
_symmetry_space_group_name_Hall 'R 3 -2"'
_cell_length_a 4.2820
_cell_length_b 4.2820
_cell_length_c 16.4620
_cell_angle_alpha 90.00
_cell_angle_beta 90.00
_cell_angle_gamma 120.00
loop_
_atom_site_label
_atom_site_fract_x
_atom_site_fract_y
_atom_site_fract_z
Sr1 0.0000 0.0000 0.0000
As1 0.0000 0.0000 0.2038
Ru1 0.0000 0.0000 0.4827
Ru2 0.0000 0.0000 0.8054
# Total magnetization   0.00 μB per formula unit
# Total DFT energy (no corrections)   -6.416 eV/atom
# E_form   -0.19 eV/atom


# PBE Al2AgRh, optimized geometry
data_Al2AgRh
_chemical_formula_sum 'Al2 Ag1 Rh1'
_symmetry_space_group_name_H-M 'P 4/m m m'
_symmetry_Int_Tables_number 123
_symmetry_space_group_name_Hall '-P 4 2'
_cell_length_a 3.0540
_cell_length_b 3.0540
_cell_length_c 6.4412
_cell_angle_alpha 90.00
_cell_angle_beta 90.00
_cell_angle_gamma 90.00
loop_
_atom_site_label
_atom_site_fract_x
_atom_site_fract_y
_atom_site_fract_z
Al1 0.0000 0.0000 0.2250
Ag1 0.5000 0.5000 0.5000
Rh1 0.5000 0.5000 0.0000
# Total magnetization   0.00 μB per formula unit
# Total DFT energy (no corrections)   -4.967 eV/atom
# E_form   -0.54 eV/atom


# PBE KTl2NiBi, optimized geometry
data_KTl2NiBi
_chemical_formula_sum 'K1 Tl2 Ni1 Bi1'
_symmetry_space_group_name_H-M 'P 4/m m m'
_symmetry_Int_Tables_number 123
_symmetry_space_group_name_Hall '-P 4 2'
_cell_length_a 5.2267
_cell_length_b 5.2267
_cell_length_c 5.4589
_cell_angle_alpha 90.00
_cell_angle_beta 90.00
_cell_angle_gamma 90.00
loop_
_atom_site_label
_atom_site_fract_x
_atom_site_fract_y
_atom_site_fract_z
K1 0.0000 0.0000 0.0000
Tl1 0.0000 0.5000 0.5000
Ni1 0.5000 0.5000 0.5000
Bi1 0.5000 0.5000 0.0000
# Total magnetization   0.00 μB per formula unit
# Total DFT energy (no corrections)   -3.102 eV/atom
# E_form   0.00 eV/atom


# PBE BaScAl, optimized geometry
data_BaScAl
_chemical_formula_sum 'Ba4 Sc4 Al4'
_symmetry_space_group_name_H-M 'F -4 3 m'
_symmetry_Int_Tables_number 216
_symmetry_space_group_name_Hall 'F -4 2 3'
_cell_length_a 7.5228
_cell_length_b 7.5228
_cell_length_c 7.5228
_cell_angle_alpha 90.00
_cell_angle_beta 90.00
_cell_angle_gamma 90.00
loop_
_atom_site_label
_atom_site_fract_x
_atom_site_fract_y
_atom_site_fract_z
Ba1 0.0000 0.0000 0.0000
Sc1 0.0000 0.0000 0.5000
Al1 0.2500 0.2500 0.2500
# Total magnetization   0.00 μB per formula unit
# Total DFT energy (no corrections)   -3.710 eV/atom
# E_form   0.29 eV/atom